This record from the Alexandria database describes crystalline SrMg2Br at its relaxed geometry. The functional is PBE-GGA.

Its mass density is 2.68 g/cm³. The raw formation energy comes out at -383 meV per atom.

Cell and atoms, written as CIF:
```
data_SrMg2Br
_cell_length_a 6.105
_cell_length_b 11.080
_cell_length_c 3.961
_cell_angle_alpha 90.00
_cell_angle_beta 90.00
_cell_angle_gamma 90.00
_space_group_name_H-M_alt 'C m m m'
_space_group_IT_number 65
_space_group_name_Hall '-C 2 2'
loop_
_atom_site_label
_atom_site_fract_x
_atom_site_fract_y
_atom_site_fract_z
Sr1 0.000 0.000 0.000
Mg1 0.250 0.250 0.500
Br1 0.000 0.500 0.000
```